i | This record from the Alexandria database describes a geometry-optimized SrCoP3 structure. The functional is GGA-PBE.

**Density of states at the Fermi level**: 14.3 states/eV/f.u.

Lattice parameters (Å, degrees): 5.3566 5.3566 5.3566 90.00 90.00 90.00
Last column: nearest neighbours and their distance in Å.
Space group Pm-3m (No. 221)
Symmetry-distinct sites (fractional):
Sr 0.0000 0.0000 0.0000 (multiplicity 1)  6 P 2.68
Co 0.5000 0.5000 0.5000 (multiplicity 1)  12 P 3.79
P 0.0000 0.0000 0.5000 (multiplicity 3)  2 Sr 2.68

---

ii | This record from the Alexandria database describes a geometry-optimized SrCoP3 structure. The functional is GGA-PBE.

**Density of states at the Fermi level**: 4.2 states/eV/f.u.

Lattice parameters (Å, degrees): 4.5642 4.5642 4.5642 90.00 90.00 90.00
Last column: nearest neighbours and their distance in Å.
Space group Pm-3m (No. 221)
Symmetry-distinct sites (fractional):
Sr 0.0000 0.0000 0.0000 (multiplicity 1)  12 P 3.23
Co 0.5000 0.5000 0.5000 (multiplicity 1)  6 P 2.28
P 0.0000 0.5000 0.5000 (multiplicity 3)  2 Co 2.28

---

Looking at the structures above, ii is most stable, and the difference to the next one is 2125 meV/atom.